4
Lattice="0.000 3.642 3.642 3.642 0.000 3.642 3.642 3.642 0.000" Properties=species:S:1:pos:R:3 comment="La2ZrAg | Alexandria via LeMat-Bulk | GGA-PBEsol | relaxed" final_energy_ev_per_atom=-5.623 e_form_ev_per_atom=0.1500 magnetic_moment_mub_per_cell=0.11 space_group="F-43m, No. 216" crystal_system=cubic density_g_cm3=8.2 volume_a3_per_cell=96.6 relative_energy_mev_per_atom=121 pbc="T T T"
La 0.000 0.000 0.000
La 1.821 1.821 1.821
Zr 5.463 5.463 5.463
Ag 3.642 3.642 3.642

---

6
Lattice="1.435 -7.491 0.000 1.435 7.491 0.000 0.000 0.000 4.703" Properties=species:S:1:pos:R:3 comment="Li2Ag | Alexandria via LeMat-Bulk | GGA-PBEsol | relaxed" final_energy_ev_per_atom=-2.516 e_form_ev_per_atom=-0.1012 magnetic_moment_mub_per_cell=0.00 space_group="Cmcm, No. 63" crystal_system=orthorhombic density_g_cm3=4.0 volume_a3_per_cell=101.1 pbc="T T T"
Li 1.435 6.609 3.527
Li 1.435 1.926 3.527
Li 1.435 -1.926 1.176
Li 1.435 -6.609 1.176
Ag 1.435 3.265 1.176
Ag 1.435 -3.265 3.527

---

6
Lattice="5.174 -1.419 0.000 5.174 1.419 0.000 -1.722 0.000 6.564" Properties=species:S:1:pos:R:3 comment="Li2Ag | Alexandria via LeMat-Bulk | GGA-PBEsol | relaxed" final_energy_ev_per_atom=-2.534 e_form_ev_per_atom=-0.1191 magnetic_moment_mub_per_cell=0.00 space_group="Cm, No. 8" crystal_system=monoclinic density_g_cm3=4.2 volume_a3_per_cell=96.4 pbc="T T T"
Li 0.000 0.000 0.000
Li -0.432 0.000 3.937
Li 3.408 0.000 1.906
Li 5.903 0.000 6.158
Ag 2.333 0.000 4.407
Ag 6.253 0.000 2.120

---

9
Lattice="-4.327 4.327 2.167 4.327 -4.327 2.167 4.327 4.327 -2.167" Properties=species:S:1:pos:R:3 comment="Li8Ag | Alexandria via LeMat-Bulk | GGA-PBEsol | relaxed" final_energy_ev_per_atom=-2.169 e_form_ev_per_atom=-0.0527 magnetic_moment_mub_per_cell=0.00 space_group="I4/mmm, No. 139" crystal_system=tetragonal density_g_cm3=1.7 volume_a3_per_cell=162.3 pbc="T T T"
Li 2.799 0.000 0.000
Li 5.855 0.000 0.000
Li 0.000 2.799 0.000
Li 2.961 2.961 0.000
Li 1.366 -1.366 2.167
Li -1.366 1.366 2.167
Li 1.366 1.366 2.167
Li 0.000 5.855 0.000
Ag 0.000 0.000 0.000

---

5
Lattice="1.434 0.828 11.119 -1.434 0.828 11.119 0.000 -1.656 11.119" Properties=species:S:1:pos:R:3 comment="Li2Ag3 | Alexandria via LeMat-Bulk | GGA-PBEsol | relaxed" final_energy_ev_per_atom=-2.892 e_form_ev_per_atom=-0.1191 magnetic_moment_mub_per_cell=0.00 space_group="R-3m, No. 166" crystal_system=trigonal density_g_cm3=7.1 volume_a3_per_cell=79.2 pbc="T T T"
Li 0.000 0.000 3.345
Li 0.000 0.000 30.011
Ag 0.000 0.000 9.931
Ag 0.000 0.000 16.678
Ag 0.000 0.000 23.425

---

18
Lattice="7.680 0.000 0.000 -3.840 6.651 0.000 0.000 0.000 5.487" Properties=species:S:1:pos:R:3 comment="Li4Ag5 | Alexandria via LeMat-Bulk | GGA-PBEsol | relaxed" final_energy_ev_per_atom=-2.847 e_form_ev_per_atom=-0.1337 magnetic_moment_mub_per_cell=0.00 space_group="P6_3/mcm, No. 193" crystal_system=hexagonal density_g_cm3=6.7 volume_a3_per_cell=280.3 relative_energy_mev_per_atom=16 pbc="T T T"
Li 0.000 0.000 0.000
Li 0.000 0.000 2.744
Li -1.360 2.355 1.372
Li -2.480 4.295 4.116
Li 2.720 0.000 1.372
Li 1.360 2.355 4.116
Li 4.960 0.000 4.116
Li 2.480 4.295 1.372
Ag -1.209 2.094 4.116
Ag -2.631 4.557 1.372
Ag 2.418 0.000 4.116
Ag 1.209 2.094 1.372
Ag 0.000 4.434 0.000
Ag 0.000 4.434 2.744
Ag 3.840 2.217 0.000
Ag 3.840 2.217 2.744
Ag 5.262 0.000 1.372
Ag 2.631 4.557 4.116